1.
Here is an optimized crystal structure of Mn2CuF from the Alexandria database. Energies are from PBE with a Hubbard U.

extended XYZ file:
```
16
Lattice="6.372 0.000 0.000 0.000 6.372 0.000 0.000 0.000 6.379" Properties=species:S:1:pos:R:3 pbc="T T T"
Mn 1.320 1.593 0.797
Mn 1.593 4.506 2.392
Mn 1.593 5.053 5.582
Mn 1.867 1.593 3.987
Mn 4.506 4.779 3.987
Mn 4.779 1.320 5.582
Mn 4.779 1.867 2.392
Mn 5.053 4.779 0.797
Cu 0.000 0.000 3.190
Cu 0.000 3.186 4.785
Cu 3.186 0.000 1.595
Cu 3.186 3.186 0.000
F 0.000 0.000 0.000
F 0.000 3.186 1.595
F 3.186 0.000 4.785
F 3.186 3.186 3.190
```

Output
Crystal system: tetragonal
Size of the total moment: 2.425 μB/atom
Relative energy among the computed polymorphs: 0 kJ/mol of formula units
Electronic total energy: -5.61 eV per atom



2.
Here is an optimized crystal structure of Mn2Cu2F from the Alexandria database. Energies are from PBE with a Hubbard U.

extended XYZ file:
```
10
Lattice="7.057 0.000 0.000 0.000 7.057 0.000 0.000 0.000 3.144" Properties=species:S:1:pos:R:3 pbc="T T T"
Mn 1.245 2.284 0.000
Mn 2.284 5.812 0.000
Mn 4.773 1.245 0.000
Mn 5.812 4.773 0.000
Cu 0.849 4.378 1.572
Cu 2.679 0.849 1.572
Cu 4.378 6.207 1.572
Cu 6.207 2.679 1.572
F 0.000 0.000 1.572
F 3.528 3.528 1.572
```

Output
Crystal system: tetragonal
Size of the total moment: 1.903 μB/atom
Relative energy among the computed polymorphs: 0 kJ/mol of formula units
Electronic total energy: -5.05 eV per atom



3.
Here is an optimized crystal structure of Mn2Cu2F from the Alexandria database. Energies are from PBE with a Hubbard U.

extended XYZ file:
```
10
Lattice="4.066 0.000 0.000 0.000 4.066 0.000 0.000 0.000 10.754" Properties=species:S:1:pos:R:3 pbc="T T T"
Mn 0.000 2.033 2.689
Mn 0.000 2.033 8.066
Mn 2.033 0.000 2.689
Mn 2.033 0.000 8.066
Cu 0.000 0.000 1.153
Cu 0.000 0.000 9.601
Cu 2.033 2.033 4.224
Cu 2.033 2.033 6.530
F 0.000 0.000 5.377
F 2.033 2.033 0.000
```

Output
Crystal system: tetragonal
Size of the total moment: 1.836 μB/atom
Relative energy among the computed polymorphs: 161 kJ/mol of formula units
Electronic total energy: -4.71 eV per atom



4.
Here is an optimized crystal structure of MnCuMoF6 from the Alexandria database. Energies are from PBE with a Hubbard U.

extended XYZ file:
```
18
Lattice="5.650 0.000 0.000 -2.825 4.893 0.000 0.000 0.000 9.132" Properties=species:S:1:pos:R:3 pbc="T T T"
Mn 0.000 3.262 2.283
Mn 2.825 1.631 6.849
Cu 0.000 0.000 0.000
Cu 0.000 0.000 4.566
Mo 0.000 3.262 6.849
Mo 2.825 1.631 2.283
F -0.958 1.716 5.774
F -1.818 3.205 7.924
F 0.958 1.716 7.924
F -0.860 4.865 5.774
F 1.965 0.028 1.208
F 1.007 1.688 3.358
F 1.818 3.205 5.774
F 0.860 4.865 7.924
F 3.685 0.028 3.358
F 1.867 3.177 1.208
F 4.644 1.688 1.208
F 3.784 3.177 3.358
```

Output
Crystal system: trigonal
Size of the total moment: 0.878 μB/atom
Electronic total energy: -5.49 eV per atom



5.
Here is an optimized crystal structure of Na2MnCuF6 from the Alexandria database. Energies are from PBE with a Hubbard U.

extended XYZ file:
```
20
Lattice="5.439 0.000 0.000 0.000 5.616 0.000 -5.141 0.000 8.339" Properties=species:S:1:pos:R:3 pbc="T T T"
Na -0.046 0.309 2.023
Na -2.616 2.499 6.192
Na 2.914 3.117 2.147
Na 0.344 5.307 6.316
Mn 2.720 0.000 0.000
Mn 0.149 2.808 4.169
Cu -2.571 0.000 4.169
Cu 0.000 2.808 0.000
F -4.114 1.199 7.877
F -1.544 1.609 3.707
F -3.605 3.930 7.767
F -1.034 4.494 3.597
F -1.841 0.295 6.399
F 0.730 2.513 2.229
F -0.432 3.103 6.109
F 2.139 5.322 1.940
F 1.332 1.122 4.742
F 3.902 1.686 0.572
F 1.841 4.007 4.631
F 4.412 4.417 0.462
```

Output
Crystal system: monoclinic
Size of the total moment: 0.400 μB/atom
Electronic total energy: -4.93 eV per atom



6.
Here is an optimized crystal structure of NaMnCuF6 from the Alexandria database. Energies are from PBE with a Hubbard U.

extended XYZ file:
```
9
Lattice="5.390 0.000 0.000 -2.695 4.668 0.000 0.000 0.000 4.797" Properties=species:S:1:pos:R:3 pbc="T T T"
Na 0.000 0.000 0.000
Mn 0.000 3.112 2.399
Cu 2.695 1.556 2.399
F -0.982 1.709 3.443
F -1.706 2.964 1.354
F 0.982 1.709 1.354
F -0.725 4.664 3.443
F 1.706 2.964 3.443
F 0.725 4.664 1.354
```

Output
Crystal system: trigonal
Size of the total moment: 0.333 μB/atom
Electronic total energy: -4.86 eV per atom